# ReNi2Mo | Alexandria via LeMat-Bulk | GGA-PBE | optimized geometry
data_ReNi2Mo
_chemical_formula_sum 'Re2 Ni4 Mo2'
_cell_length_a 5.3528
_cell_length_b 5.3528
_cell_length_c 5.3528
_cell_angle_alpha 103.01
_cell_angle_beta 103.01
_cell_angle_gamma 123.36
_symmetry_space_group_name_H-M 'P 1'
_symmetry_Int_Tables_number 1
loop_
_symmetry_equiv_pos_as_xyz
'x,y,z'
loop_
_atom_site_label
_atom_site_type_symbol
_atom_site_fract_x
_atom_site_fract_y
_atom_site_fract_z
Re1 Re 0.0000 0.0000 0.0000
Re2 Re 0.7500 0.2500 0.5000
Ni1 Ni 0.1204 0.1250 0.4954
Ni2 Ni 0.3750 0.8796 0.0046
Ni3 Ni 0.6296 0.6250 0.5046
Ni4 Ni 0.8750 0.3704 0.9954
Mo1 Mo 0.2500 0.7500 0.5000
Mo2 Mo 0.5000 0.5000 0.0000
# E_tot, eV per atom: -8.1164
# D(E_F), states/eV/atom: 0.86
# Crystal system: tetragonal
# Magnetization, μB per atom: 0.000
# Energy of formation from the pure elements, eV per atom: 0.594


# Re2NiMo | Alexandria via LeMat-Bulk | GGA-PBE | optimized geometry
data_Re2NiMo
_chemical_formula_sum 'Re2 Ni1 Mo1'
_cell_length_a 2.6600
_cell_length_b 2.6600
_cell_length_c 8.3685
_cell_angle_alpha 90.00
_cell_angle_beta 90.00
_cell_angle_gamma 104.62
_symmetry_space_group_name_H-M 'P 1'
_symmetry_Int_Tables_number 1
loop_
_symmetry_equiv_pos_as_xyz
'x,y,z'
loop_
_atom_site_label
_atom_site_type_symbol
_atom_site_fract_x
_atom_site_fract_y
_atom_site_fract_z
Re1 Re 0.0000 0.0000 0.2351
Re2 Re 0.0000 0.0000 0.7649
Ni1 Ni 0.5000 0.5000 0.0000
Mo1 Mo 0.5000 0.5000 0.5000
# E_tot, eV per atom: -10.2446
# Energy relative to the lowest polymorph listed for this composition, meV/atom: 123.4
# D(E_F), states/eV/atom: 0.77
# Crystal system: orthorhombic
# Magnetization, μB per atom: 0.000
# Energy of formation from the pure elements, eV per atom: 0.133


# Re2NiMo | Alexandria via LeMat-Bulk | GGA-PBE | optimized geometry
data_Re2NiMo
_chemical_formula_sum 'Re2 Ni1 Mo1'
_cell_length_a 2.6471
_cell_length_b 3.9654
_cell_length_c 5.5087
_cell_angle_alpha 90.00
_cell_angle_beta 90.00
_cell_angle_gamma 90.00
_symmetry_space_group_name_H-M 'P 1'
_symmetry_Int_Tables_number 1
loop_
_symmetry_equiv_pos_as_xyz
'x,y,z'
loop_
_atom_site_label
_atom_site_type_symbol
_atom_site_fract_x
_atom_site_fract_y
_atom_site_fract_z
Re1 Re 0.0000 0.0000 0.2297
Re2 Re 0.0000 0.0000 0.7703
Ni1 Ni 0.5000 0.5000 0.0000
Mo1 Mo 0.5000 0.5000 0.5000
# E_tot, eV per atom: -10.2318
# Energy relative to the lowest polymorph listed for this composition, meV/atom: 136.3
# D(E_F), states/eV/atom: 1.16
# Crystal system: orthorhombic
# Magnetization, μB per atom: 0.000
# Energy of formation from the pure elements, eV per atom: 0.145


# Re2NiMo | Alexandria via LeMat-Bulk | GGA-PBE | optimized geometry
data_Re2NiMo
_chemical_formula_sum 'Re2 Ni1 Mo1'
_cell_length_a 3.1908
_cell_length_b 3.1908
_cell_length_c 5.6159
_cell_angle_alpha 90.00
_cell_angle_beta 90.00
_cell_angle_gamma 90.00
_symmetry_space_group_name_H-M 'P 1'
_symmetry_Int_Tables_number 1
loop_
_symmetry_equiv_pos_as_xyz
'x,y,z'
loop_
_atom_site_label
_atom_site_type_symbol
_atom_site_fract_x
_atom_site_fract_y
_atom_site_fract_z
Re1 Re 0.0000 0.0000 0.0000
Re2 Re 0.5000 0.5000 0.2687
Ni1 Ni 0.5000 0.5000 0.7734
Mo1 Mo 0.0000 0.0000 0.5468
# E_tot, eV per atom: -10.2535
# Energy relative to the lowest polymorph listed for this composition, meV/atom: 114.5
# D(E_F), states/eV/atom: 0.92
# Crystal system: tetragonal
# Magnetization, μB per atom: 0.000
# Energy of formation from the pure elements, eV per atom: 0.124


# ReNi2Mo | Alexandria via LeMat-Bulk | GGA-PBE | optimized geometry
data_ReNi2Mo
_chemical_formula_sum 'Re1 Ni2 Mo1'
_cell_length_a 3.6950
_cell_length_b 3.6950
_cell_length_c 3.8486
_cell_angle_alpha 90.00
_cell_angle_beta 90.00
_cell_angle_gamma 90.00
_symmetry_space_group_name_H-M 'P 1'
_symmetry_Int_Tables_number 1
loop_
_symmetry_equiv_pos_as_xyz
'x,y,z'
loop_
_atom_site_label
_atom_site_type_symbol
_atom_site_fract_x
_atom_site_fract_y
_atom_site_fract_z
Re1 Re 0.0000 0.0000 0.0000
Ni1 Ni 0.0000 0.5000 0.5000
Ni2 Ni 0.5000 0.0000 0.5000
Mo1 Mo 0.5000 0.5000 0.0000
# E_tot, eV per atom: -8.6734
# D(E_F), states/eV/atom: 1.33
# Crystal system: tetragonal
# Magnetization, μB per atom: 0.000
# Energy of formation from the pure elements, eV per atom: 0.037


# ReNi2Mo | Alexandria via LeMat-Bulk | GGA-PBE | optimized geometry
data_ReNi2Mo
_chemical_formula_sum 'Re1 Ni2 Mo1'
_cell_length_a 4.5787
_cell_length_b 4.5787
_cell_length_c 4.5787
_cell_angle_alpha 131.36
_cell_angle_beta 131.36
_cell_angle_gamma 71.24
_symmetry_space_group_name_H-M 'P 1'
_symmetry_Int_Tables_number 1
loop_
_symmetry_equiv_pos_as_xyz
'x,y,z'
loop_
_atom_site_label
_atom_site_type_symbol
_atom_site_fract_x
_atom_site_fract_y
_atom_site_fract_z
Re1 Re 0.0000 0.0000 0.0000
Ni1 Ni 0.5000 0.5000 0.0000
Ni2 Ni 0.7500 0.2500 0.5000
Mo1 Mo 0.2500 0.7500 0.5000
# E_tot, eV per atom: -8.6536
# D(E_F), states/eV/atom: 1.68
# Crystal system: tetragonal
# Magnetization, μB per atom: 0.000
# Energy of formation from the pure elements, eV per atom: 0.057


# ReNi2Mo2 | Alexandria via LeMat-Bulk | GGA-PBE | optimized geometry
data_ReNi2Mo2
_chemical_formula_sum 'Re2 Ni4 Mo4'
_cell_length_a 6.5588
_cell_length_b 6.5588
_cell_length_c 3.1905
_cell_angle_alpha 90.00
_cell_angle_beta 90.00
_cell_angle_gamma 90.00
_symmetry_space_group_name_H-M 'P 1'
_symmetry_Int_Tables_number 1
loop_
_symmetry_equiv_pos_as_xyz
'x,y,z'
loop_
_atom_site_label
_atom_site_type_symbol
_atom_site_fract_x
_atom_site_fract_y
_atom_site_fract_z
Re1 Re 0.0000 0.0000 0.0000
Re2 Re 0.5000 0.5000 0.0000
Ni1 Ni 0.1236 0.3764 0.0000
Ni2 Ni 0.3764 0.8764 0.0000
Ni3 Ni 0.6236 0.1236 0.0000
Ni4 Ni 0.8764 0.6236 0.0000
Mo1 Mo 0.1774 0.6774 0.5000
Mo2 Mo 0.3226 0.1774 0.5000
Mo3 Mo 0.6774 0.8226 0.5000
Mo4 Mo 0.8226 0.3226 0.5000
# E_tot, eV per atom: -9.0016
# D(E_F), states/eV/atom: 1.65
# Crystal system: tetragonal
# Magnetization, μB per atom: 0.000
# Energy of formation from the pure elements, eV per atom: 0.133


# Re2NiMo | Alexandria via LeMat-Bulk | GGA-PBE | optimized geometry
data_Re2NiMo
_chemical_formula_sum 'Re2 Ni1 Mo1'
_cell_length_a 4.6656
_cell_length_b 4.6656
_cell_length_c 4.7217
_cell_angle_alpha 99.72
_cell_angle_beta 99.72
_cell_angle_gamma 34.63
_symmetry_space_group_name_H-M 'P 1'
_symmetry_Int_Tables_number 1
loop_
_symmetry_equiv_pos_as_xyz
'x,y,z'
loop_
_atom_site_label
_atom_site_type_symbol
_atom_site_fract_x
_atom_site_fract_y
_atom_site_fract_z
Re1 Re 0.2450 0.2450 0.2389
Re2 Re 0.7550 0.7550 0.7611
Ni1 Ni 0.5000 0.5000 0.0000
Mo1 Mo 0.0000 0.0000 0.5000
# E_tot, eV per atom: -10.2719
# Energy relative to the lowest polymorph listed for this composition, meV/atom: 96.2
# D(E_F), states/eV/atom: 1.01
# Crystal system: monoclinic
# Magnetization, μB per atom: 0.000
# Energy of formation from the pure elements, eV per atom: 0.105


# ReNi2Mo | Alexandria via LeMat-Bulk | GGA-PBE | optimized geometry
data_ReNi2Mo
_chemical_formula_sum 'Re1 Ni2 Mo1'
_cell_length_a 4.2415
_cell_length_b 4.2415
_cell_length_c 4.2415
_cell_angle_alpha 60.00
_cell_angle_beta 60.00
_cell_angle_gamma 60.00
_symmetry_space_group_name_H-M 'P 1'
_symmetry_Int_Tables_number 1
loop_
_symmetry_equiv_pos_as_xyz
'x,y,z'
loop_
_atom_site_label
_atom_site_type_symbol
_atom_site_fract_x
_atom_site_fract_y
_atom_site_fract_z
Re1 Re 0.0000 0.0000 0.0000
Ni1 Ni 0.2500 0.2500 0.2500
Ni2 Ni 0.5000 0.5000 0.5000
Mo1 Mo 0.7500 0.7500 0.7500
# E_tot, eV per atom: -8.5303
# D(E_F), states/eV/atom: 1.43
# Crystal system: cubic
# Magnetization, μB per atom: 0.096
# Energy of formation from the pure elements, eV per atom: 0.180


# ReNi2Mo | Alexandria via LeMat-Bulk | GGA-PBE | optimized geometry
data_ReNi2Mo
_chemical_formula_sum 'Re1 Ni2 Mo1'
_cell_length_a 4.5605
_cell_length_b 4.5605
_cell_length_c 4.6728
_cell_angle_alpha 97.70
_cell_angle_beta 97.70
_cell_angle_gamma 33.30
_symmetry_space_group_name_H-M 'P 1'
_symmetry_Int_Tables_number 1
loop_
_symmetry_equiv_pos_as_xyz
'x,y,z'
loop_
_atom_site_label
_atom_site_type_symbol
_atom_site_fract_x
_atom_site_fract_y
_atom_site_fract_z
Re1 Re 0.0000 0.0000 0.0000
Ni1 Ni 0.4919 0.4919 0.4731
Ni2 Ni 0.7421 0.7421 0.2340
Mo1 Mo 0.2383 0.2383 0.7175
# E_tot, eV per atom: -8.6863
# D(E_F), states/eV/atom: 0.83
# Crystal system: monoclinic
# Magnetization, μB per atom: 0.000
# Energy of formation from the pure elements, eV per atom: 0.024


# ReNi2Mo | Alexandria via LeMat-Bulk | GGA-PBE | optimized geometry
data_ReNi2Mo
_chemical_formula_sum 'Re1 Ni2 Mo1'
_cell_length_a 2.6042
_cell_length_b 3.8073
_cell_length_c 5.3428
_cell_angle_alpha 90.00
_cell_angle_beta 90.00
_cell_angle_gamma 90.00
_symmetry_space_group_name_H-M 'P 1'
_symmetry_Int_Tables_number 1
loop_
_symmetry_equiv_pos_as_xyz
'x,y,z'
loop_
_atom_site_label
_atom_site_type_symbol
_atom_site_fract_x
_atom_site_fract_y
_atom_site_fract_z
Re1 Re 0.0000 0.0000 0.0000
Ni1 Ni 0.0000 0.0000 0.5333
Ni2 Ni 0.5000 0.5000 0.7628
Mo1 Mo 0.5000 0.5000 0.2856
# E_tot, eV per atom: -8.6759
# D(E_F), states/eV/atom: 0.80
# Crystal system: orthorhombic
# Magnetization, μB per atom: 0.000
# Energy of formation from the pure elements, eV per atom: 0.035


# ReNi2Mo | Alexandria via LeMat-Bulk | GGA-PBE | optimized geometry
data_ReNi2Mo
_chemical_formula_sum 'Re1 Ni2 Mo1'
_cell_length_a 8.7970
_cell_length_b 8.7970
_cell_length_c 8.7970
_cell_angle_alpha 17.49
_cell_angle_beta 17.49
_cell_angle_gamma 17.49
_symmetry_space_group_name_H-M 'P 1'
_symmetry_Int_Tables_number 1
loop_
_symmetry_equiv_pos_as_xyz
'x,y,z'
loop_
_atom_site_label
_atom_site_type_symbol
_atom_site_fract_x
_atom_site_fract_y
_atom_site_fract_z
Re1 Re 0.0000 0.0000 0.0000
Ni1 Ni 0.2515 0.2515 0.2515
Ni2 Ni 0.7485 0.7485 0.7485
Mo1 Mo 0.5000 0.5000 0.5000
# E_tot, eV per atom: -8.5381
# D(E_F), states/eV/atom: 1.55
# Crystal system: trigonal
# Magnetization, μB per atom: 0.069
# Energy of formation from the pure elements, eV per atom: 0.172